{
  "formula": "ScNiAs",
  "functional": "GGA-PBE",
  "state": "relaxed",
  "lattice_angstrom": [[3.959, 0.000, 0.000], [-1.979, 3.428, 0.000], [0.000, 0.000, 3.617]],
  "species": ["Sc", "As", "Ni"],
  "frac_coords": [[0.333, 0.667, 0.667], [0.000, 0.000, 0.166], [0.667, 0.333, 0.167]],
  "dft_energy_ev_per_atom": -6.53,
  "magmom_total_mub_per_fu": 0.0,
  "density_g_cm3": 6.0,
  "spacegroup": "P-6m2",
  "ef_ev_per_atom": -0.94
}